Record 1
A plane-wave DFT calculation with PBE was carried out for a geometry-optimized Pu2HfNb structure.

Properties
As for the crystal system: tetragonal. As for the space group: P4/mmm (123). The calculation puts the calculated formation energy at 0.3356 eV per atom.

Unit cell a=3.751 b=3.751 c=6.359 alpha=90.00 beta=90.00 gamma=90.00
Element x y z (fractional)
1 Pu 0.000 0.000 0.239
2 Pu 0.000 0.000 0.761
3 Hf 0.500 0.500 0.500
4 Nb 0.500 0.500 0.000

---

Record 2
A plane-wave DFT calculation with PBE was carried out for a geometry-optimized PuHf2Nb structure.

Properties
As for the crystal system: trigonal. As for the space group: R-3m (166). The calculation puts the calculated formation energy at 0.2051 eV per atom.

Unit cell a=10.373 b=10.373 c=10.373 alpha=17.45 beta=17.45 gamma=17.45
Element x y z (fractional)
1 Pu 0.000 0.000 0.000
2 Hf 0.246 0.246 0.246
3 Hf 0.754 0.754 0.754
4 Nb 0.500 0.500 0.500

---

Record 3
A plane-wave DFT calculation with PBE was carried out for a geometry-optimized PuHf2Nb structure.

Properties
As for the crystal system: trigonal. As for the space group: R3m (160). The calculation puts the calculated formation energy at 0.2124 eV per atom.

Unit cell a=10.390 b=10.390 c=10.390 alpha=17.49 beta=17.49 gamma=17.49
Element x y z (fractional)
1 Pu 0.000 0.000 0.000
2 Hf 0.578 0.578 0.578
3 Hf 0.755 0.755 0.755
4 Nb 0.167 0.167 0.167

---

Record 4
A plane-wave DFT calculation with PBE was carried out for a geometry-optimized PuHfNb2 structure.

Properties
As for the crystal system: tetragonal. As for the space group: P4/mmm (123). The calculation puts the calculated formation energy at 0.1973 eV per atom.

Unit cell a=4.890 b=4.890 c=3.393 alpha=90.00 beta=90.00 gamma=90.00
Element x y z (fractional)
1 Pu 0.000 0.000 0.000
2 Hf 0.500 0.500 0.000
3 Nb 0.000 0.500 0.500
4 Nb 0.500 0.000 0.500

---

Table of volume (Å³ per atom), in record order: 22.36 21.89 22.12 20.28
Table of distance to the lowest polymorph of the same formula (meV per atom), in record order: 0.0 61.3 68.6 22.9
Table of total energy (eV/f.u.), in record order: -47.34 -43.49 -43.46 -43.64